Compound: BaEu2CoO5
Source: Alexandria via LeMat-Bulk
Functional: PBE with a Hubbard U
Structure: relaxed

```
BaEu2CoO5
1.0
-2.0713 -6.2416 1.8130
4.2588 -5.2124 -1.1085
-1.1439 5.9338 3.1650
Co Ba O Eu
1 1 5 2
direct
0.5000 0.5000 0.0000
0.0000 0.0000 0.0000
0.5997 0.3600 0.2397
0.4003 0.6400 0.7603
0.5000 0.0000 0.5000
0.1203 0.3600 0.7603
0.8797 0.6400 0.2397
0.7061 0.2061 0.5000
0.2939 0.7939 0.5000
```

- electronic total energy (eV/cell) = -73.4
- magnetization (μB per formula unit) = 14.99